[1]
## AlBiS2 (PBE-GGA)

Data for a relaxed AlBiS2 crystal.

a b c (Å): 8.8941 3.5265 3.5265
angles (deg): 121.23 113.73 66.27
Last column: nearest neighbours and their distance in Å.
Fractional positions:
S  0.3301  0.2884  0.7116  3 Al 2.41-2.44
Al  0.5000  0.5000  0.5000  6 S 2.41-2.44
Bi  0.0000  0.0000  0.0000  4 S 3.13, 2 Bi 3.46
S  0.6699  0.7116  0.2884  3 Al 2.41-2.44

Properties
Space-group type   No. 12
Total DFT energy (no corrections)   -18.34 eV/cell
ΔE to the lowest computed polymorph   140 meV per atom
ΔE_f (raw)   -2.46 eV/f.u.

=====

[2]
## Al4BiS8 (PBE-GGA)

Data for a relaxed Al4BiS8 crystal.

a b c (Å): 7.2900 7.2900 7.2900
angles (deg): 60.00 60.00 60.00
Last column: nearest neighbours and their distance in Å.
Fractional positions:
S  0.1314  0.6058  0.1314  3 Al 2.36
S  0.1314  0.1314  0.6058  3 Al 2.36
Al  0.3599  0.3599  0.9203  6 S 2.36-2.57
S  0.1314  0.1314  0.1314  3 Al 2.36
S  0.1869  0.6044  0.6044  3 Al 2.57, 1 Bi 2.60
S  0.6044  0.6044  0.6044  3 Al 2.57, 1 Bi 2.60
S  0.6044  0.6044  0.1869  3 Al 2.57, 1 Bi 2.60
Bi  0.7500  0.7500  0.7500  4 S 2.60
S  0.6058  0.1314  0.1314  3 Al 2.36
Al  0.3599  0.9203  0.3599  6 S 2.36-2.57
Al  0.3599  0.3599  0.3599  6 S 2.36-2.57
S  0.6044  0.1869  0.6044  3 Al 2.57, 1 Bi 2.60
Al  0.9203  0.3599  0.3599  6 S 2.36-2.57

Properties
Space-group type   No. 216
Total DFT energy (no corrections)   -61.94 eV/cell
ΔE_f (raw)   -10.07 eV/f.u.

=====

[3]
## AlBiS2 (PBE-GGA)

Data for a relaxed AlBiS2 crystal.

a b c (Å): 15.4321 6.6354 6.6354
angles (deg): 89.87 132.53 47.47
Last column: nearest neighbours and their distance in Å.
Fractional positions:
Al  0.8330  0.6342  0.1383  4 S 2.28-2.33
S  0.2569  0.1415  0.7276  2 Al 2.28-2.29
Al  0.3330  0.3617  0.8658  4 S 2.28-2.33
Bi  0.5071  0.6672  0.7041  1 S 2.71
S  0.7569  0.7724  0.3585  2 Al 2.28-2.29
S  0.9203  0.1917  0.1136  2 Al 2.30-2.33
Bi  0.0071  0.7959  0.8328  1 S 2.71
S  0.4203  0.3864  0.3083  2 Al 2.30-2.33

Properties
Space-group type   No. 9
Total DFT energy (no corrections)   -36.30 eV/cell
ΔE to the lowest computed polymorph   186 meV per atom
ΔE_f (raw)   -2.27 eV/f.u.

=====

[4]
## Al2BiS4 (PBE-GGA)

Data for a relaxed Al2BiS4 crystal.

a b c (Å): 7.5674 7.5517 7.5514
angles (deg): 75.46 59.93 59.93
Last column: nearest neighbours and their distance in Å.
Fractional positions:
Bi  0.9999  0.0000  0.0000  4 S 2.82
S  0.6027  0.3321  0.2434  2 Al 2.30-2.31
Al  0.4455  0.6797  0.1795  4 S 2.30-2.31
S  0.5718  0.7435  0.8320  2 Al 2.30-2.31
S  0.5960  0.8321  0.2567  2 Al 2.30-2.31
S  0.0653  0.7565  0.3320  2 Al 2.30-2.31
Al  0.8751  0.8204  0.6795  4 S 2.30-2.31
Al  0.3750  0.1796  0.3205  4 S 2.30-2.31
Bi  0.7500  0.5000  0.5000  4 S 2.82
S  0.1538  0.2435  0.6680  2 Al 2.30-2.31
Al  0.3046  0.3203  0.8205  4 S 2.30-2.31
S  0.6848  0.1679  0.7433  2 Al 2.30-2.31
S  0.1473  0.2565  0.1680  2 Al 2.30-2.31
S  0.1782  0.6679  0.7566  2 Al 2.30-2.31

Properties
Space-group type   No. 122
Total DFT energy (no corrections)   -65.28 eV/cell
ΔE_f (raw)   -4.76 eV/f.u.

=====

[5]
## AlBiS2 (PBE-GGA)

Data for a relaxed AlBiS2 crystal.

a b c (Å): 10.2336 10.2336 4.8705
angles (deg): 90.00 90.00 159.63
Last column: nearest neighbours and their distance in Å.
Fractional positions:
S  0.9428  0.0572  0.2500  3 Al 2.41-2.44
Bi  0.3257  0.6743  0.2500  7 S 2.86-3.04
S  0.1839  0.8161  0.2500  1 Al 2.44
Al  0.0625  0.9375  0.2500  4 S 2.41-2.44
Bi  0.6743  0.3257  0.7500  7 S 2.86-3.04
S  0.8161  0.1839  0.7500  1 Al 2.44
Al  0.9375  0.0625  0.7500  4 S 2.41-2.44
S  0.0572  0.9428  0.7500  3 Al 2.41-2.44

Properties
Space-group type   No. 63
Total DFT energy (no corrections)   -33.21 eV/cell
ΔE to the lowest computed polymorph   573 meV per atom
ΔE_f (raw)   -0.73 eV/f.u.

=====

[6]
## AlBiS2 (PBE-GGA)

Data for a relaxed AlBiS2 crystal.

a b c (Å): 15.3521 7.4716 7.4716
angles (deg): 84.14 96.65 83.35
Last column: nearest neighbours and their distance in Å.
Fractional positions:
S  0.2500  0.3747  0.8747  2 Al 2.23
Bi  0.4385  0.9433  0.1464  2 S 2.78-2.99, 1 Bi 3.11
Al  0.6653  0.1312  0.3641  4 S 2.22-2.34
S  0.9127  0.9045  0.3891  2 Al 2.30-2.31
Al  0.3167  0.3637  0.6261  4 S 2.23-2.33
S  0.4122  0.5850  0.6146  2 Al 2.33-2.34
S  0.9122  0.8854  0.9150  2 Al 2.33-2.34
Al  0.8167  0.8739  0.1363  4 S 2.23-2.33
Al  0.8347  0.8641  0.6312  4 S 2.22-2.34
Bi  0.5615  0.0567  0.8536  2 S 2.78-2.99, 1 Bi 3.11
Bi  0.9385  0.3536  0.5567  2 S 2.78-2.99, 1 Bi 3.11
Bi  0.0615  0.6464  0.4433  2 S 2.78-2.99, 1 Bi 3.11
S  0.2186  0.4046  0.3661  2 Al 2.25-2.29
S  0.0878  0.1146  0.0850  2 Al 2.33-2.34
Bi  0.5574  0.4739  0.8497  1 S 2.67
Al  0.1653  0.1359  0.3688  4 S 2.22-2.34
S  0.2814  0.8661  0.9046  2 Al 2.25-2.29
S  0.7500  0.6253  0.1253  2 Al 2.23
S  0.7186  0.1339  0.0954  2 Al 2.25-2.29
S  0.7814  0.5954  0.6339  2 Al 2.25-2.29
Bi  0.9426  0.3497  0.9739  1 S 2.67
Al  0.3347  0.8688  0.6359  4 S 2.22-2.34
Bi  0.4426  0.5261  0.1503  1 S 2.67
S  0.0873  0.0955  0.6109  2 Al 2.30-2.31
Al  0.1833  0.1261  0.8637  4 S 2.23-2.33
S  0.4127  0.1109  0.5955  2 Al 2.30-2.31
S  0.2500  0.8738  0.3738  2 Al 2.22
Al  0.6833  0.6363  0.3739  4 S 2.23-2.33
Bi  0.0574  0.6503  0.0261  1 S 2.67
S  0.5878  0.4150  0.3854  2 Al 2.33-2.34
S  0.5873  0.8891  0.4045  2 Al 2.30-2.31
S  0.7500  0.1262  0.6262  2 Al 2.22

Properties
Space-group type   No. 15
Total DFT energy (no corrections)   -149.41 eV/cell
ΔE to the lowest computed polymorph   55 meV per atom
ΔE_f (raw)   -2.80 eV/f.u.

=====

| no. | density of states at the Fermi level (states/eV/f.u.) |
| --- | --- |
| 1 | 1.174 |
| 2 | 2.202 |
| 3 | 0.445 |
| 4 | 1.566 |
| 5 | 2.550 |
| 6 | 0.000 |